Entry from Alexandria via LeMat-Bulk: a relaxed structure of FeMoPtRh (PBE).

```
FeMoPtRh
1.0
-1.925 1.925 3.865
1.925 -1.925 3.865
1.925 1.925 -3.865
Fe Mo Pt Rh
1 1 1 1
direct
0.000 0.000 0.000 Fe
0.500 0.500 0.000 Mo
0.750 0.250 0.500 Pt
0.250 0.750 0.500 Rh
```

Its density of states at the Fermi level is 2.5 states/eV per cell. The calculation puts the calculated total energy at -8.40 eV per atom. Its energy relative to the elements is -0.226 eV per atom.